{
  "formula": "NaPuVO5",
  "functional": "GGA+U",
  "state": "optimized geometry",
  "cell": [[-5.103, 1.449, -2.974], [-2.272, -3.905, 4.070], [2.054, 6.445, 4.074]],
  "species": ["Na", "Na", "Pu", "Pu", "V", "V", "O", "O", "O", "O", "O", "O", "O", "O", "O", "O"],
  "frac_coords": [[0.324, 0.676, 0.250], [0.676, 0.324, 0.750], [0.000, 0.000, 0.500], [0.000, 0.000, 0.000], [0.659, 0.341, 0.250], [0.341, 0.659, 0.750], [0.075, 0.925, 0.250], [0.925, 0.075, 0.750], [0.823, 0.289, 0.098], [0.177, 0.711, 0.902], [0.711, 0.177, 0.402], [0.289, 0.823, 0.598], [0.728, 0.643, 0.378], [0.272, 0.357, 0.622], [0.357, 0.272, 0.122], [0.643, 0.728, 0.878]],
  "total_energy_ev_per_atom": -8.35,
  "magmom_total_mub_per_cell": 8.0,
  "spacegroup": "C2/c (15)"
}